No. 1
Below is a geometry-optimized NbBi3 structure, with properties calculated at the PBE-GGA level.

Calculated values
The total energy comes out at -0.19880 hartree per atom. The space group is No. 62.

a = 9.339 Å, b = 3.910 Å, c = 12.469 Å
α = 90.00°, β = 90.00°, γ = 90.00°
Element x y z (fractional)
Nb  0.103  0.250  0.025
Nb  0.397  0.750  0.525
Nb  0.603  0.250  0.475
Nb  0.897  0.750  0.975
Bi  0.063  0.750  0.199
Bi  0.086  0.750  0.577
Bi  0.216  0.750  0.870
Bi  0.284  0.250  0.370
Bi  0.414  0.250  0.077
Bi  0.437  0.250  0.699
Bi  0.563  0.750  0.301
Bi  0.586  0.750  0.923
Bi  0.716  0.750  0.630
Bi  0.784  0.250  0.130
Bi  0.914  0.250  0.423
Bi  0.937  0.250  0.801

No. 2
Below is a geometry-optimized Dy2Ho2CBr4F structure, with properties calculated at the PBE-GGA level.

Calculated values
The total energy comes out at -0.19156 hartree per atom. The space group is No. 12.

a = 8.998 Å, b = 8.998 Å, c = 7.489 Å
α = 101.07°, β = 101.07°, γ = 23.47°
Element x y z (fractional)
Dy  0.138  0.138  0.074
Dy  0.862  0.862  0.926
Ho  0.497  0.497  0.223
Ho  0.503  0.503  0.777
C  0.000  0.000  0.000
Br  0.328  0.328  0.189
Br  0.340  0.340  0.637
Br  0.660  0.660  0.363
Br  0.672  0.672  0.811
F  0.000  0.000  0.500

No. 3
Below is a geometry-optimized PrNiSnAsIr structure, with properties calculated at the PBE-GGA level.

Calculated values
The space group is No. 129. As for the distance to the lowest polymorph of the same formula: 0.000 eV/atom.

a = 4.216 Å, b = 4.216 Å, c = 10.613 Å
α = 90.00°, β = 90.00°, γ = 90.00°
Element x y z (fractional)
Pr  0.250  0.250  0.237
Pr  0.750  0.750  0.763
Ni  0.250  0.250  0.646
Ni  0.750  0.750  0.354
Sn  0.250  0.750  0.500
Sn  0.750  0.250  0.500
As  0.250  0.250  0.862
As  0.750  0.750  0.138
Ir  0.250  0.750  0.000
Ir  0.750  0.250  0.000